No. 1
Entry from the Alexandria database: an optimized crystal structure of Pu2Cd2Hg7 (GGA-PBE).

Values from the calculation:
- density of states at the Fermi level (states/eV per atom) = 2.56
- calculated formation energy (kJ/mol of formula units) = 148

Cell lengths 7.236, 6.255, 7.236 Å; angles 90.01, 99.03, 89.99 degrees
Each line ends with the local moment (μB).
Fractional positions:
Pu 0.824 0.500 0.824  5.75
Pu 0.176 0.500 0.176  5.75
Cd 0.735 0.000 0.265  -0.01
Cd 0.265 0.000 0.735  -0.01
Hg 0.000 0.263 0.500  0.01
Hg 0.500 0.737 0.000  0.01
Hg 0.000 0.737 0.500  0.01
Hg 0.500 0.263 0.000  0.01
Hg 0.000 0.000 0.000  0.02
Hg 0.500 0.742 0.500  0.01
Hg 0.500 0.258 0.500  0.01

No. 2
Entry from the Alexandria database: an optimized crystal structure of ZnTeAs2 (GGA-PBE).

Values from the calculation:
- offset from the most stable computed form (meV/atom) = 421
- density of states at the Fermi level (states/eV per atom) = 0.59

Cell lengths 3.303, 3.303, 9.141 Å; angles 90.00, 90.00, 113.23 degrees
Fractional positions:
As 0.000 0.000 0.993
As 0.500 0.500 0.193
Te 0.000 0.000 0.541
Zn 0.500 0.500 0.773

No. 3
Entry from the Alexandria database: an optimized crystal structure of NdHoAu2 (GGA-PBE).

Values from the calculation:
- density of states at the Fermi level (states/eV per atom) = 0.45
- calculated formation energy (kJ/mol of formula units) = -318

Cell lengths 3.614, 3.614, 7.430 Å; angles 90.00, 90.00, 90.00 degrees
Fractional positions:
Nd 0.500 0.500 0.500
Au 0.000 0.000 0.773
Au 0.000 0.000 0.227
Ho 0.500 0.500 0.000

No. 4
Entry from the Alexandria database: an optimized crystal structure of Rb3Ho3GaS8 (GGA-PBE).

Values from the calculation:
- total energy (hartree per atom) = -0.1831
- density of states at the Fermi level (states/eV per atom) = 0.97

Cell lengths 7.879, 7.883, 9.092 Å; angles 115.72, 90.00, 119.98 degrees
Fractional positions:
Rb 0.000 0.000 0.000
Rb 0.000 0.500 0.000
Rb 0.500 0.500 0.000
Ho 0.500 0.000 0.500
Ho 0.500 0.500 0.500
Ho 0.000 0.500 0.500
Ga 0.000 0.000 0.500
S 0.269 0.539 0.308
S 0.731 0.461 0.692
S 0.783 0.567 0.320
S 0.217 0.433 0.680
S 0.783 0.037 0.319
S 0.217 0.963 0.681
S 0.253 0.036 0.319
S 0.747 0.964 0.681